Below is GdDyPt4 after structural relaxation, with properties calculated at the PBE level.

Cell lengths 7.7009, 7.7009, 7.7009 Å; angles 90.00, 90.00, 90.00 degrees
Closest atoms and distances in Å follow each position.
Space group F-43m (No. 216)
Unique sites:
Gd (0.0000, 0.0000, 0.0000) x4  12 Pt 3.19, 4 Dy 3.33
Dy (0.2500, 0.2500, 0.7500) x4  12 Pt 3.19, 4 Gd 3.33
Pt (0.1249, 0.1249, 0.3751) x16  6 Pt 2.72

Calculated values
Size of the total moment   28.32 μB per cell
Energy of formation from the pure elements   -1.118 eV/atom
DOS(E_F)   2.2 states/eV/f.u.

Below is MnCuBi2Pt after structural relaxation, with properties calculated at the PBE level.

Cell lengths 5.0020, 5.0020, 4.7138 Å; angles 90.00, 90.00, 90.00 degrees
Closest atoms and distances in Å follow each position.
Space group P4/mmm (No. 123)
Unique sites:
Mn (0.0000, 0.0000, 0.0000) x1  2 Pt 2.36, 4 Bi 2.50
Cu (0.5000, 0.5000, 0.5000) x1  8 Bi 3.44, 4 Pt 3.54
Bi (0.0000, 0.5000, 0.0000) x2  2 Mn 2.50
Pt (0.0000, 0.0000, 0.5000) x1  2 Mn 2.36

Calculated values
Size of the total moment   0.00 μB per cell
Energy of formation from the pure elements   0.816 eV/atom
DOS(E_F)   4.8 states/eV/f.u.

Below is Al2PtSe after structural relaxation, with properties calculated at the PBE level.

Cell lengths 3.5739, 3.5739, 12.0578 Å; angles 90.00, 90.00, 90.00 degrees
Closest atoms and distances in Å follow each position.
Space group I-4m2 (No. 119)
Unique sites:
Al (0.0000, 0.0000, 0.0000) x2  4 Se 2.53
Al (0.0000, 0.5000, 0.2500) x2  4 Pt 2.53
Pt (0.0000, 0.5000, 0.7500) x2  4 Al 2.53
Se (0.0000, 0.0000, 0.5000) x2  4 Al 2.53

Calculated values
Size of the total moment   0.00 μB per cell
Formation energy from raw total energies   -216 meV/atom
DOS(E_F)   1.1 states/eV/f.u.

Below is TaGaNO2 after structural relaxation, with properties calculated at the PBE level.

Cell lengths 3.6583, 3.6583, 3.9767 Å; angles 90.00, 90.00, 90.00 degrees
Closest atoms and distances in Å follow each position.
Space group P4/mmm (No. 123)
Unique sites:
Ta (0.0000, 0.0000, 0.0000) x1  4 N 2.59, 8 O 2.70
Ga (0.5000, 0.5000, 0.5000) x1  4 O 1.83, 2 N 1.99
N (0.5000, 0.5000, 0.0000) x1  2 Ga 1.99
O (0.0000, 0.5000, 0.5000) x2  2 Ga 1.83

Calculated values
Size of the total moment   0.00 μB per cell
Formation energy from raw total energies   -317 meV/atom
DOS(E_F)   2.9 states/eV/f.u.

Below is PmErGaGe after structural relaxation, with properties calculated at the PBE level.

Cell lengths 7.2158, 7.2158, 7.2158 Å; angles 90.00, 90.00, 90.00 degrees
Closest atoms and distances in Å follow each position.
Space group F-43m (No. 216)
Unique sites:
Pm (0.0000, 0.0000, 0.0000) x4  4 Ge 3.12, 4 Ga 3.12
Er (0.0000, 0.0000, 0.5000) x4  4 Ge 3.12, 4 Ga 3.12
Ga (0.2500, 0.2500, 0.7500) x4  4 Er 3.12, 4 Pm 3.12
Ge (0.2500, 0.2500, 0.2500) x4  4 Er 3.12, 4 Pm 3.12

Calculated values
E above lowest polymorph   203 meV per atom
Size of the total moment   0.00 μB per cell
Energy of formation from the pure elements   -0.566 eV/atom
DOS(E_F)   2.2 states/eV/f.u.

Below is HfTa2Mo2 after structural relaxation, with properties calculated at the PBE level.

Cell lengths 3.3677, 16.9166, 3.2589 Å; angles 90.00, 90.00, 90.00 degrees
Closest atoms and distances in Å follow each position.
Space group Cmmm (No. 65)
Unique sites:
Hf (0.0000, 0.0000, 0.0000) x2  8 Mo 2.92, 2 Ta 3.11, 2 Hf 3.26
Ta (0.0000, 0.1836, 0.0000) x4  4 Mo 2.71, 2 Ta 2.81
Mo (0.0000, 0.3966, 0.5000) x4  4 Ta 2.71, 4 Hf 2.92

Calculated values
Size of the total moment   0.00 μB per cell
Energy of formation from the pure elements   0.181 eV/atom
DOS(E_F)   4.9 states/eV/f.u.

Below is La2Tb9Ho3 after structural relaxation, with properties calculated at the PBE level.

Cell lengths 17.9372, 10.1039, 5.4955 Å; angles 90.00, 107.79, 90.00 degrees
Closest atoms and distances in Å follow each position.
Space group C2/m (No. 12)
Unique sites:
La (0.0000, 0.2343, 0.0000) x4  8 Tb 3.48-3.84, 2 Ho 3.63
Tb (0.0000, 0.5000, 0.5000) x2  4 Tb 3.54, 4 La 3.84
Tb (0.1280, 0.2242, 0.6273) x8  1 Ho 3.15, 3 Tb 3.16-3.21, 2 La 3.51
Tb (0.1920, 0.3482, 0.1909) x8  4 Tb 3.07-3.21
Ho (0.0000, 0.0000, 0.5000) x2  4 Tb 3.15
Ho (0.1821, 0.0000, 0.1823) x4  10 Tb 3.52-3.82, 2 La 3.91

Calculated values
Size of the total moment   0.00 μB per cell
Energy of formation from the pure elements   0.312 eV/atom
DOS(E_F)   21.4 states/eV/f.u.

Below is TcAs2Br after structural relaxation, with properties calculated at the PBE level.

Cell lengths 3.0289, 4.7922, 10.9412 Å; angles 90.00, 90.00, 90.00 degrees
Closest atoms and distances in Å follow each position.
Space group Immm (No. 71)
Unique sites:
Tc (0.0000, 0.0000, 0.0000) x2  4 As 2.56, 4 Br 2.83
As (0.0000, 0.5000, 0.3114) x4  2 Tc 2.56
Br (0.0000, 0.0000, 0.5000) x2  4 Tc 2.83, 2 Br 3.03, 4 As 3.16

Calculated values
E above lowest polymorph   389 meV per atom
Size of the total moment   0.00 μB per cell
Formation energy from raw total energies   379 meV/atom
DOS(E_F)   3.9 states/eV/f.u.